Entry 1:
K2InAg2 | PBE-GGA | optimized geometry

```
5
Lattice="-0.088 4.559 -2.024 -5.641 -0.488 -0.855 1.904 0.192 6.499" Properties=species:S:1:pos:R:3 pbc="T T T"
In 0.000 0.000 0.000
K -3.207 0.654 1.612
K -0.617 3.609 2.008
Ag -4.261 1.914 -1.651
Ag -1.468 2.156 -1.228
```

## Properties
**ΔE to the lowest computed polymorph**: 0.00 eV/f.u.
**DOS(E_F)**: 1.73 states/eV/f.u.
**SG**: No. 71
**Crystal system**: orthorhombic
**Formation enthalpy at 0 K**: -0.04 eV per atom

Entry 2:
ZnIr4 | PBE-GGA | optimized geometry

```
5
Lattice="-2.781 2.781 2.781 2.781 -2.781 2.781 2.781 2.781 -2.781" Properties=species:S:1:pos:R:3 pbc="T T T"
Ir 1.391 1.391 -1.391
Ir 1.391 -1.391 1.391
Ir -1.391 1.391 1.391
Ir 1.391 1.391 1.391
Zn 0.000 0.000 0.000
```

## Properties
**ΔE to the lowest computed polymorph**: 5.94 eV/f.u.
**DOS(E_F)**: 9.19 states/eV/f.u.
**SG**: No. 229
**Crystal system**: cubic
**Formation enthalpy at 0 K**: 1.15 eV per atom